Record 1
Compound: LiPu4Br10
Source: the Alexandria database
Functional: PBE
Structure: optimized geometry

abc: 11.3899 11.3899 7.2027
angles: 90.00 90.00 90.00
Space group I4/m (No. 87)
Asymmetric unit:
Li  0.0000  0.0000  0.0000 (multiplicity 2)
Pu  0.1022  0.2959  0.5000 (multiplicity 8)
Br  0.0000  0.5000  0.2500 (multiplicity 4)
Br  0.0988  0.7997  0.2489 (multiplicity 16)

Values from the calculation:
formation energy without anion corrections	-1.449	eV per atom

Record 2
Compound: LiPuBr6
Source: the Alexandria database
Functional: PBE
Structure: optimized geometry

abc: 7.0096 12.9436 7.0087
angles: 90.00 112.82 90.00
Space group C2/m (No. 12)
Asymmetric unit:
Li  0.0000  0.0000  0.0000 (multiplicity 2)
Pu  0.0000  0.5000  0.5000 (multiplicity 2)
Br  0.2292  0.5000  0.2719 (multiplicity 4)
Br  0.2471  0.1448  0.2457 (multiplicity 8)

Values from the calculation:
formation energy without anion corrections	-1.149	eV per atom

Record 3
Compound: Li6PuBr8
Source: the Alexandria database
Functional: PBE
Structure: optimized geometry

abc: 11.2944 11.2944 11.2944
angles: 90.00 90.00 90.00
Space group Fm-3m (No. 225)
Asymmetric unit:
Li  0.0000  0.2500  0.2500 (multiplicity 24)
Pu  0.0000  0.0000  0.0000 (multiplicity 4)
Br  0.0000  0.0000  0.2602 (multiplicity 24)
Br  0.2500  0.2500  0.2500 (multiplicity 8)

Values from the calculation:
formation energy without anion corrections	-1.448	eV per atom

Record 4
Compound: Li2PuBr4
Source: the Alexandria database
Functional: PBE
Structure: optimized geometry

abc: 7.9983 8.3161 12.0259
angles: 90.00 90.00 90.00
Space group Imma (No. 74)
Asymmetric unit:
Li  0.0000  0.0000  0.0000 (multiplicity 4)
Li  0.0000  0.2500  0.3839 (multiplicity 4)
Pu  0.2500  0.2500  0.7500 (multiplicity 4)
Br  0.0000  0.0164  0.2389 (multiplicity 8)
Br  0.2344  0.2500  0.9976 (multiplicity 8)

Values from the calculation:
formation energy without anion corrections	-1.445	eV per atom

Record 5
Compound: RbLi2Pu2Br7
Source: the Alexandria database
Functional: PBE
Structure: optimized geometry

abc: 5.8652 23.2066 5.8655
angles: 90.00 90.00 90.00
Space group Imm2 (No. 44)
Asymmetric unit:
Rb  0.0000  0.0000  0.0000 (multiplicity 2)
Li  0.0000  0.2500  0.4961 (multiplicity 4)
Pu  0.0000  0.3724  0.9963 (multiplicity 4)
Br  0.0000  0.1277  0.4956 (multiplicity 4)
Br  0.0000  0.2456  0.9959 (multiplicity 4)
Br  0.0000  0.3721  0.4962 (multiplicity 4)
Br  0.0000  0.5000  0.9944 (multiplicity 2)

Values from the calculation:
formation energy without anion corrections	-1.439	eV per atom

Record 6
Compound: RbLiPuBr4
Source: the Alexandria database
Functional: PBE
Structure: optimized geometry

abc: 7.1012 7.3864 9.4961
angles: 90.00 109.25 90.00
Space group P2_1/m (No. 11)
Asymmetric unit:
Rb  0.2367  0.2500  0.4407 (multiplicity 2)
Li  0.2670  0.7500  0.1766 (multiplicity 2)
Pu  0.2929  0.2500  0.9538 (multiplicity 2)
Br  0.0428  0.7500  0.9177 (multiplicity 2)
Br  0.0627  0.7500  0.3418 (multiplicity 2)
Br  0.4834  0.5036  0.7842 (multiplicity 4)

Values from the calculation:
formation energy without anion corrections	-1.516	eV per atom

| no. | size of the total moment (μB/cell) |
| --- | --- |
| 1 | 46.0 |
| 2 | 6.0 |
| 3 | 24.0 |
| 4 | 24.0 |
| 5 | 0.0 |
| 6 | 12.0 |